Computed, not measured: crystalline NdAuS at its relaxed geometry at the PBE-GGA level of DFT.

```
NdAuS
1.0
4.147 0.000 0.000
0.000 5.443 0.000
-2.074 0.000 6.217
Au Nd S
2 2 2
Direct
0.465 0.750 0.931
0.535 0.250 0.069
0.142 0.750 0.283
0.858 0.250 0.717
0.198 0.250 0.396
0.802 0.750 0.604
```

theoretical density = 8.8 g/cm³
energy = -0.3972 Ry per atom